{"formula": "AcNd2NbN4", "functional": "GGA-PBE", "state": "relaxed", "space_group": "Cmcm (63)", "raw_formation_energy_ev_per_atom": -1.11, "total_magnetization_mub_per_cell": 0.00, "crystal_system": "orthorhombic", "lattice_angstrom": [[3.568, 0.000, 0.000], [-1.784, 6.287, 0.000], [0.000, 0.000, 12.532]], "species": ["Ac", "Ac", "Nd", "Nd", "Nd", "Nd", "Nb", "Nb", "N", "N", "N", "N", "N", "N", "N", "N"], "frac_coords": [[0.090, 0.181, 0.750], [0.910, 0.819, 0.250], [0.371, 0.741, 0.537], [0.629, 0.259, 0.037], [0.629, 0.259, 0.463], [0.371, 0.741, 0.963], [0.830, 0.659, 0.750], [0.170, 0.341, 0.250], [0.265, 0.529, 0.127], [0.735, 0.471, 0.627], [0.735, 0.471, 0.873], [0.265, 0.529, 0.373], [0.000, 0.000, 0.500], [0.000, 0.000, 0.000], [0.427, 0.853, 0.750], [0.573, 0.147, 0.250]]}


{"formula": "TmMoRu2", "functional": "GGA-PBE", "state": "relaxed", "space_group": "Fm-3m (225)", "ef_kj_per_mol_fu": -27, "total_magnetization_mub_per_cell": 0.00, "crystal_system": "cubic", "lattice_angstrom": [[-2.694, -3.578, -0.793], [1.479, -4.205, 0.906], [-1.768, -2.332, 3.482]], "species": ["Ru", "Ru", "Mo", "Tm"], "frac_coords": [[0.250, 0.250, 0.250], [0.750, 0.750, 0.750], [0.500, 0.500, 0.500], [0.000, 0.000, 0.000]]}


{"formula": "Cu2ReP", "functional": "GGA-PBE", "state": "relaxed", "space_group": "F-43m (216)", "ef_kj_per_mol_fu": 104, "total_magnetization_mub_per_cell": 0.00, "crystal_system": "cubic", "lattice_angstrom": [[-2.091, -1.820, -3.093], [1.921, -2.713, -2.491], [-0.932, -4.042, 0.220]], "species": ["Cu", "Cu", "P", "Re"], "frac_coords": [[0.000, 0.000, 0.000], [0.250, 0.250, 0.250], [0.500, 0.500, 0.500], [0.750, 0.750, 0.750]]}


{"formula": "AsP2H", "functional": "GGA-PBE", "state": "relaxed", "space_group": "Fm-3m (225)", "total_energy_ev_per_fu": -15.35, "total_magnetization_mub_per_cell": 0.00, "crystal_system": "cubic", "lattice_angstrom": [[0.000, 3.014, 3.014], [3.014, 0.000, 3.014], [3.014, 3.014, 0.000]], "species": ["P", "P", "As", "H"], "frac_coords": [[0.250, 0.250, 0.250], [0.750, 0.750, 0.750], [0.500, 0.500, 0.500], [0.000, 0.000, 0.000]]}